(1)
Crystalline MgNbFe2N at its relaxed geometry. Source: Alexandria via LeMat-Bulk, functional GGA-PBE.

Calculated values
Density of states at the Fermi level   1.405 states/eV per atom
Size of the total moment   2.74 μB per formula unit
ρ   3.83 g/cm³
Electronic total energy   -5.0329 eV per atom

Cell and atoms, written as CIF:
```
data_MgNbFe2N
_chemical_formula_sum 'Mg1 Nb1 Fe2 N1'
_space_group_name_H-M_alt 'P 4/m m m'
_space_group_IT_number 123
_space_group_name_Hall '-P 4 2'
_cell_length_a 4.3993
_cell_length_b 4.3993
_cell_length_c 5.4428
_cell_angle_alpha 90.00
_cell_angle_beta 90.00
_cell_angle_gamma 90.00
loop_
_atom_site_label
_atom_site_type_symbol
_atom_site_fract_x
_atom_site_fract_y
_atom_site_fract_z
Mg1 Mg 0.0000 0.0000 0.0000
Nb1 Nb 0.0000 0.0000 0.5000
Fe1 Fe 0.0000 0.5000 0.5000
N1 N 0.5000 0.5000 0.0000
```


(2)
Crystalline MgFeNi2N at its relaxed geometry. Source: Alexandria via LeMat-Bulk, functional GGA-PBE.

Calculated values
Density of states at the Fermi level   1.199 states/eV per atom
Size of the total moment   1.86 μB per formula unit
ρ   6.30 g/cm³
Electronic total energy   -6.1497 eV per atom

Cell and atoms, written as CIF:
```
data_MgFeNi2N
_chemical_formula_sum 'Mg1 Fe1 Ni2 N1'
_space_group_name_H-M_alt 'P 4/m m m'
_space_group_IT_number 123
_space_group_name_Hall '-P 4 2'
_cell_length_a 3.8489
_cell_length_b 3.8489
_cell_length_c 3.7666
_cell_angle_alpha 90.00
_cell_angle_beta 90.00
_cell_angle_gamma 90.00
loop_
_atom_site_label
_atom_site_type_symbol
_atom_site_fract_x
_atom_site_fract_y
_atom_site_fract_z
Mg1 Mg 0.0000 0.0000 0.0000
Fe1 Fe 0.5000 0.5000 0.0000
Ni1 Ni 0.0000 0.5000 0.5000
N1 N 0.5000 0.5000 0.5000
```